VASP calculation (PBE) on a relaxed AlTeIr crystal.

Properties
E above lowest polymorph (meV/atom): 0
VASP energy (eV/atom): -5.58
M_tot (μB per formula unit): 0.00

a = 4.395 Å, b = 4.395 Å, c = 4.395 Å
α = 60.00°, β = 60.00°, γ = 60.00°
Element x y z (fractional)
1 Al 0.000 0.000 0.000
2 Te 0.500 0.500 0.500
3 Ir 0.250 0.250 0.250